Entry 1:
Material: NiSbOsI2
Method: DFT, PBE
State: relaxed

total energy = -3.63 eV/atom
magnetic moment = 0.237 μB per atom
ρ = 6.78 g/cm3
energy relative to the elements, uncorrected = 1.212 eV per atom
offset from the most stable computed form = 0 meV/atom

```
data_NiSbOsI2
_chemical_formula_sum 'Ni1 Sb1 Os1 I2'
_symmetry_space_group_name_H-M 'P 4/m m m'
_symmetry_Int_Tables_number 123
_symmetry_space_group_name_Hall '-P 4 2'
_cell_length_a 5.5352
_cell_length_b 5.5352
_cell_length_c 4.9887
_cell_angle_alpha 90.00
_cell_angle_beta 90.00
_cell_angle_gamma 90.00
loop_
_atom_site_label
_atom_site_fract_x
_atom_site_fract_y
_atom_site_fract_z
_atom_site_occupancy
Ni1 0.0000 0.0000 0.0000 1
Sb1 0.5000 0.5000 0.0000 1
Os1 0.5000 0.5000 0.5000 1
I1 0.0000 0.5000 0.5000 1
```

Entry 2:
Material: CePd4Pt
Method: DFT, PBE
State: relaxed

total energy = -5.77 eV/atom
magnetic moment = 0.006 μB per atom
ρ = 11.02 g/cm3
offset from the most stable computed form = 271 meV/atom
DFT formation energy = -0.31 eV/atom

```
data_CePd4Pt
_chemical_formula_sum 'Ce2 Pd8 Pt2'
_symmetry_space_group_name_H-M 'P -4 2 c'
_symmetry_Int_Tables_number 112
_symmetry_space_group_name_Hall 'P -4 2c'
_cell_length_a 5.1058
_cell_length_b 5.1058
_cell_length_c 8.7920
_cell_angle_alpha 90.00
_cell_angle_beta 90.00
_cell_angle_gamma 90.00
loop_
_atom_site_label
_atom_site_fract_x
_atom_site_fract_y
_atom_site_fract_z
_atom_site_occupancy
Ce1 0.0000 0.5000 0.2500 1
Pd1 0.0790 0.2561 0.8924 1
Pt1 0.5000 0.5000 0.0000 1
```

Entry 3:
Material: OsW2
Method: DFT, PBE
State: relaxed

total energy = -11.66 eV/atom
magnetic moment = 0.000 μB per atom
ρ = 18.00 g/cm3
offset from the most stable computed form = 719 meV/atom
DFT formation energy = 0.72 eV/atom

```
data_OsW2
_chemical_formula_sum 'Os4 W8'
_symmetry_space_group_name_H-M 'I m m a'
_symmetry_Int_Tables_number 74
_symmetry_space_group_name_Hall '-I 2b 2'
_cell_length_a 2.7443
_cell_length_b 4.0845
_cell_length_c 18.3714
_cell_angle_alpha 90.00
_cell_angle_beta 90.00
_cell_angle_gamma 90.00
loop_
_atom_site_label
_atom_site_fract_x
_atom_site_fract_y
_atom_site_fract_z
_atom_site_occupancy
Os1 0.0000 0.2500 0.1115 1
W1 0.0000 0.2500 0.5419 1
W2 0.0000 0.2500 0.6843 1
```

Entry 4:
Material: CoPRu2
Method: DFT, PBE
State: relaxed

total energy = -7.74 eV/atom
magnetic moment = 0.470 μB per atom
ρ = 9.31 g/cm3
DFT formation energy = 0.03 eV/atom

```
data_CoPRu2
_chemical_formula_sum 'Co3 P3 Ru6'
_symmetry_space_group_name_H-M 'R -3 m'
_symmetry_Int_Tables_number 166
_symmetry_space_group_name_Hall '-R 3 2"'
_cell_length_a 2.7803
_cell_length_b 2.7803
_cell_length_c 23.3474
_cell_angle_alpha 90.00
_cell_angle_beta 90.00
_cell_angle_gamma 120.00
loop_
_atom_site_label
_atom_site_fract_x
_atom_site_fract_y
_atom_site_fract_z
_atom_site_occupancy
Co1 0.0000 0.0000 0.0000 1
P1 0.0000 0.0000 0.5000 1
Ru1 0.0000 0.0000 0.2431 1
```

Entry 5:
Material: Ti5GeRh6
Method: DFT, PBE
State: relaxed

total energy = -8.10 eV/atom
magnetic moment = 0.000 μB per atom
ρ = 8.70 g/cm3
DFT formation energy = -0.75 eV/atom

```
data_Ti5GeRh6
_chemical_formula_sum 'Ti5 Ge1 Rh6'
_symmetry_space_group_name_H-M 'P 1 2/m 1'
_symmetry_Int_Tables_number 10
_symmetry_space_group_name_Hall '-P 2y'
_cell_length_a 4.4925
_cell_length_b 5.8638
_cell_length_c 6.8708
_cell_angle_alpha 90.00
_cell_angle_beta 101.44
_cell_angle_gamma 90.00
loop_
_atom_site_label
_atom_site_fract_x
_atom_site_fract_y
_atom_site_fract_z
_atom_site_occupancy
Ti1 0.0000 0.0000 0.0000 1
Ti2 0.3514 0.5000 0.6604 1
Ti3 0.3518 0.0000 0.6554 1
Ge1 0.0000 0.5000 0.0000 1
Rh1 0.1337 0.2509 0.3195 1
Rh2 0.5000 0.2484 0.0000 1
```

Entry 6:
Material: HfGePCl2
Method: DFT, PBE
State: relaxed

total energy = -5.08 eV/atom
magnetic moment = 0.160 μB per atom
ρ = 4.74 g/cm3
energy relative to the elements, uncorrected = -0.343 eV per atom
offset from the most stable computed form = 0 meV/atom

```
data_HfGePCl2
_chemical_formula_sum 'Hf1 Ge1 P1 Cl2'
_symmetry_space_group_name_H-M 'P 4/m m m'
_symmetry_Int_Tables_number 123
_symmetry_space_group_name_Hall '-P 4 2'
_cell_length_a 4.8714
_cell_length_b 4.8714
_cell_length_c 5.2118
_cell_angle_alpha 90.00
_cell_angle_beta 90.00
_cell_angle_gamma 90.00
loop_
_atom_site_label
_atom_site_fract_x
_atom_site_fract_y
_atom_site_fract_z
_atom_site_occupancy
Hf1 0.0000 0.0000 0.0000 1
Ge1 0.5000 0.5000 0.5000 1
P1 0.0000 0.0000 0.5000 1
Cl1 0.0000 0.5000 0.0000 1
```